# 1
# GGA-PBE MgTe2P, optimized geometry
# D(E_F) = 0.7359 states/eV per atom
# relative energy among the computed polymorphs = 0.5369 eV/atom
# raw formation energy = 0.32 eV/atom
# final energy = -48.03 eV per cell
data_MgTe2P
_chemical_formula_sum 'Mg4 Te8 P4'
_symmetry_space_group_name_H-M 'F -4 3 m'
_symmetry_Int_Tables_number 216
_symmetry_space_group_name_Hall 'F -4 2 3'
_cell_length_a 7.224
_cell_length_b 7.224
_cell_length_c 7.224
_cell_angle_alpha 90.00
_cell_angle_beta 90.00
_cell_angle_gamma 90.00
loop_
_atom_site_label
_atom_site_type_symbol
_atom_site_fract_x
_atom_site_fract_y
_atom_site_fract_z
Mg1 Mg 0.000 0.000 0.000
Te1 Te 0.000 0.000 0.500
Te2 Te 0.250 0.250 0.750
P1 P 0.250 0.250 0.250

# 2
# GGA-PBE TlSe2S, optimized geometry
# D(E_F) = 1.0399 states/eV per atom
# relative energy among the computed polymorphs = 0.5493 eV/atom
# raw formation energy = 0.53 eV/atom
# final energy = -45.43 eV per cell
data_TlSe2S
_chemical_formula_sum 'Tl4 Se8 S4'
_symmetry_space_group_name_H-M 'F m -3 m'
_symmetry_Int_Tables_number 225
_symmetry_space_group_name_Hall '-F 4 2 3'
_cell_length_a 7.051
_cell_length_b 7.051
_cell_length_c 7.051
_cell_angle_alpha 90.00
_cell_angle_beta 90.00
_cell_angle_gamma 90.00
loop_
_atom_site_label
_atom_site_type_symbol
_atom_site_fract_x
_atom_site_fract_y
_atom_site_fract_z
Tl1 Tl 0.000 0.000 0.000
Se1 Se 0.250 0.250 0.250
S1 S 0.000 0.000 0.500

# 3
# GGA-PBE Sc2GaGe2, optimized geometry
# D(E_F) = 0.6816 states/eV per atom
# formation energy = -0.634 eV per atom
# relative energy among the computed polymorphs = 0.0119 eV/atom
# final energy = -56.19 eV per cell
data_Sc2GaGe2
_chemical_formula_sum 'Sc4 Ga2 Ge4'
_symmetry_space_group_name_H-M 'P 4/m b m'
_symmetry_Int_Tables_number 127
_symmetry_space_group_name_Hall '-P 4 2ab'
_cell_length_a 6.857
_cell_length_b 6.857
_cell_length_c 4.004
_cell_angle_alpha 90.00
_cell_angle_beta 90.00
_cell_angle_gamma 90.00
loop_
_atom_site_label
_atom_site_type_symbol
_atom_site_fract_x
_atom_site_fract_y
_atom_site_fract_z
Sc1 Sc 0.176 0.324 0.000
Ga1 Ga 0.000 0.000 0.500
Ge1 Ge 0.129 0.629 0.500

# 4
# GGA-PBE Cs2RbNaIn, optimized geometry
# D(E_F) = 0.8864 states/eV per atom
# formation energy = 0.090 eV per atom
# relative energy among the computed polymorphs = 0.0000 eV/atom
# final energy = -6.28 eV per cell
data_Cs2RbNaIn
_chemical_formula_sum 'Cs2 Rb1 Na1 In1'
_symmetry_space_group_name_H-M 'P 4/m m m'
_symmetry_Int_Tables_number 123
_symmetry_space_group_name_Hall '-P 4 2'
_cell_length_a 7.609
_cell_length_b 7.609
_cell_length_c 6.369
_cell_angle_alpha 90.00
_cell_angle_beta 90.00
_cell_angle_gamma 90.00
loop_
_atom_site_label
_atom_site_type_symbol
_atom_site_fract_x
_atom_site_fract_y
_atom_site_fract_z
Cs1 Cs 0.000 0.500 0.000
Rb1 Rb 0.000 0.000 0.500
Na1 Na 0.500 0.500 0.500
In1 In 0.500 0.500 0.000

# 5
# GGA-PBE CaInCo2, optimized geometry
# D(E_F) = 1.1419 states/eV per atom
# formation energy = 0.105 eV per atom
# final energy = -37.06 eV per cell
data_CaInCo2
_chemical_formula_sum 'Ca2 In2 Co4'
_symmetry_space_group_name_H-M 'A m m 2'
_symmetry_Int_Tables_number 38
_cell_length_a 3.869
_cell_length_b 4.096
_cell_length_c 9.574
_cell_angle_alpha 90.00
_cell_angle_beta 90.00
_cell_angle_gamma 90.00
loop_
_symmetry_equiv_pos_as_xyz
'x,y,z'
'-x,-y,z'
'-x,y,z'
'x,-y,z'
'x,y+1/2,z+1/2'
'-x,-y+1/2,z+1/2'
'-x,y+1/2,z+1/2'
'x,-y+1/2,z+1/2'
loop_
_atom_site_label
_atom_site_type_symbol
_atom_site_fract_x
_atom_site_fract_y
_atom_site_fract_z
Ca1 Ca 0.000 0.000 0.000
In1 In 0.500 0.000 0.703
Co1 Co 0.000 0.000 0.291
Co2 Co 0.500 0.000 0.401

# 6
# GGA-PBE MgGe5, optimized geometry
# D(E_F) = 0.3343 states/eV per atom
# formation energy = 0.176 eV per atom
# relative energy among the computed polymorphs = 0.0393 eV/atom
# final energy = -47.25 eV per cell
data_MgGe5
_chemical_formula_sum 'Mg2 Ge10'
_symmetry_space_group_name_H-M 'A m m 2'
_symmetry_Int_Tables_number 38
_cell_length_a 5.041
_cell_length_b 2.945
_cell_length_c 15.868
_cell_angle_alpha 90.00
_cell_angle_beta 90.00
_cell_angle_gamma 90.00
loop_
_symmetry_equiv_pos_as_xyz
'x,y,z'
'-x,-y,z'
'-x,y,z'
'x,-y,z'
'x,y+1/2,z+1/2'
'-x,-y+1/2,z+1/2'
'-x,y+1/2,z+1/2'
'x,-y+1/2,z+1/2'
loop_
_atom_site_label
_atom_site_type_symbol
_atom_site_fract_x
_atom_site_fract_y
_atom_site_fract_z
Mg1 Mg 0.000 0.000 0.000
Ge1 Ge 0.000 0.000 0.328
Ge2 Ge 0.000 0.000 0.673
Ge3 Ge 0.500 0.000 0.157
Ge4 Ge 0.500 0.000 0.501
Ge5 Ge 0.500 0.000 0.846

# 7
# GGA-PBE SrCaTa2, optimized geometry
# D(E_F) = 1.0878 states/eV per atom
# formation energy = 0.434 eV per atom
# relative energy among the computed polymorphs = 0.0000 eV/atom
# final energy = -25.65 eV per cell
data_SrCaTa2
_chemical_formula_sum 'Sr1 Ca1 Ta2'
_symmetry_space_group_name_H-M 'P 4 m m'
_symmetry_Int_Tables_number 99
_cell_length_a 3.610
_cell_length_b 3.610
_cell_length_c 8.994
_cell_angle_alpha 90.00
_cell_angle_beta 90.00
_cell_angle_gamma 90.00
loop_
_symmetry_equiv_pos_as_xyz
'x,y,z'
'-y,x,z'
'-x,-y,z'
'y,-x,z'
'-x,y,z'
'y,x,z'
'x,-y,z'
'-y,-x,z'
loop_
_atom_site_label
_atom_site_type_symbol
_atom_site_fract_x
_atom_site_fract_y
_atom_site_fract_z
Sr1 Sr 0.000 0.000 0.000
Ca1 Ca 0.500 0.500 0.626
Ta1 Ta 0.000 0.000 0.381
Ta2 Ta 0.500 0.500 0.268

# 8
# GGA-PBE TaGa2BiCl, optimized geometry
# D(E_F) = 0.8442 states/eV per atom
# relative energy among the computed polymorphs = 0.0000 eV/atom
# raw formation energy = 0.34 eV/atom
# final energy = -21.94 eV per cell
data_TaGa2BiCl
_chemical_formula_sum 'Ta1 Ga2 Bi1 Cl1'
_symmetry_space_group_name_H-M 'P 4/m m m'
_symmetry_Int_Tables_number 123
_symmetry_space_group_name_Hall '-P 4 2'
_cell_length_a 5.223
_cell_length_b 5.223
_cell_length_c 5.391
_cell_angle_alpha 90.00
_cell_angle_beta 90.00
_cell_angle_gamma 90.00
loop_
_atom_site_label
_atom_site_type_symbol
_atom_site_fract_x
_atom_site_fract_y
_atom_site_fract_z
Ta1 Ta 0.000 0.000 0.000
Ga1 Ga 0.000 0.500 0.000
Bi1 Bi 0.000 0.000 0.500
Cl1 Cl 0.500 0.500 0.500